*one*
Computed, not measured: an optimized crystal structure of In5Bi3Pb at the PBE level of DFT.

Structure (POSCAR):
```
In5Bi3Pb
1.0
-4.438 -1.140 1.253
0.473 -1.551 -8.741
4.097 -13.139 2.552
Bi In Pb
6 10 2
Direct
0.163 0.327 0.750
0.589 0.178 0.369
0.411 0.822 0.869
0.837 0.673 0.250
0.589 0.178 0.131
0.411 0.822 0.631
0.403 0.806 0.379
0.190 0.381 0.004
0.810 0.619 0.996
0.810 0.619 0.504
0.403 0.806 0.121
0.000 0.000 0.000
0.000 0.000 0.500
0.597 0.194 0.879
0.597 0.194 0.621
0.190 0.381 0.496
0.192 0.384 0.250
0.808 0.616 0.750
```

Output
Total magnetization ... 0.000 μB per formula unit
Theoretical density ... 8.2 g/cm³
Crystal system ... orthorhombic
DOS at the Fermi energy ... 8.581 states/eV/cell


*two*
Computed, not measured: an optimized crystal structure of In5Bi3Pb at the PBE level of DFT.

Structure (POSCAR):
```
In5Bi3Pb
1.0
-5.226 3.894 -1.811
-3.874 -7.404 -4.743
-2.141 1.429 9.250
In Bi Pb
10 6 2
Direct
0.750 0.000 0.338
0.500 0.333 0.667
0.250 0.000 0.662
0.750 0.663 0.662
0.250 0.662 0.000
0.000 0.667 0.333
0.500 0.667 0.333
0.750 0.338 0.000
0.250 0.337 0.338
0.000 0.333 0.667
0.250 0.671 0.671
0.750 0.329 0.329
0.250 0.329 0.000
0.750 0.671 0.000
0.250 0.000 0.329
0.750 0.000 0.671
0.500 0.000 0.000
0.000 0.000 0.000
```

Output
Total magnetization ... 0.000 μB per formula unit
Theoretical density ... 8.7 g/cm³
Crystal system ... orthorhombic
DOS at the Fermi energy ... 8.465 states/eV/cell


The structure with the least stability is *one*.